Entry 1:
Computed, not measured: TcO2F2 after structural relaxation at the GGA-PBE level of DFT.

Lattice parameters (Å, degrees): 3.8645 3.8645 3.7246 90.00 90.00 90.00
Fractional coordinates of all 5 atoms:
Tc 0.0000 0.0000 0.0000
O 0.5000 0.5000 0.0000
O 0.5000 0.5000 0.5000
F 0.0000 0.5000 0.5000
F 0.5000 0.0000 0.5000

Properties
- ΔE_f (raw) (eV/atom) = 0.5047

***

Entry 2:
Computed, not measured: ZrCo2Pt after structural relaxation at the GGA-PBE level of DFT.

Lattice parameters (Å, degrees): 4.3423 4.3423 4.3423 60.00 60.00 60.00
Fractional coordinates of all 4 atoms:
Zr 0.0000 0.0000 0.0000
Co 0.2500 0.2500 0.2500
Co 0.7500 0.7500 0.7500
Pt 0.5000 0.5000 0.5000

Properties
- formation energy from the elements (eV per atom) = -0.282

***

Entry 3:
Computed, not measured: La2USb3Rh4 after structural relaxation at the GGA-PBE level of DFT.

Lattice parameters (Å, degrees): 4.4994 4.4994 11.1847 90.00 90.00 90.00
Fractional coordinates of all 10 atoms:
La 0.0000 0.5000 0.2283
La 0.5000 0.0000 0.7717
U 0.0000 0.0000 0.5000
Sb 0.0000 0.5000 0.8715
Sb 0.5000 0.0000 0.1285
Sb 0.5000 0.5000 0.5000
Rh 0.0000 0.0000 0.0000
Rh 0.0000 0.5000 0.6376
Rh 0.5000 0.0000 0.3624
Rh 0.5000 0.5000 0.0000

Properties
- ΔE_f (raw) (eV/atom) = -0.7898

***

Entry 4:
Computed, not measured: NaPmTl2 after structural relaxation at the GGA-PBE level of DFT.

Lattice parameters (Å, degrees): 5.3546 5.3546 3.9487 90.00 90.00 90.00
Fractional coordinates of all 4 atoms:
Na 0.0000 0.0000 0.0000
Pm 0.5000 0.5000 0.0000
Tl 0.0000 0.5000 0.5000
Tl 0.5000 0.0000 0.5000

Properties
- formation energy from the elements (eV per atom) = -0.277